No. 1
A relaxed W2AuI crystal. Source: the Alexandria database, functional PBE.

Summary:
M_tot: 0.00 μB per formula unit
calculated volume: 166 Å³ per cell
energy relative to the elements, uncorrected: 1.2766 eV per atom

The structure in POSCAR format:
```
W2AuI
1.0
-1.604 1.468 -3.432
-3.733 -0.648 1.467
-2.710 9.659 2.994
I Au W
2 2 4
direct
0.500 0.500 0.000 I
0.250 0.750 0.500 I
0.000 0.000 0.000 Au
0.750 0.250 0.500 Au
0.682 0.125 0.250 W
0.068 0.625 0.250 W
0.375 0.318 0.750 W
0.875 0.932 0.750 W
```

***

No. 2
A relaxed W2AuI crystal. Source: the Alexandria database, functional PBE.

Summary:
M_tot: 0.00 μB per formula unit
calculated volume: 71 Å³ per cell
energy relative to the elements, uncorrected: 1.1819 eV per atom

The structure in POSCAR format:
```
W2AuI
1.0
2.926 -3.614 0.051
2.999 -0.514 3.516
-0.596 -3.431 3.081
I Au W
1 1 2
direct
0.000 0.000 0.000 I
0.500 0.500 0.500 Au
0.250 0.250 0.250 W
0.750 0.750 0.750 W
```

***

No. 3
A relaxed WAu2I crystal. Source: the Alexandria database, functional PBE.

Summary:
M_tot: 2.80 μB per formula unit
calculated volume: 84 Å³ per cell
energy relative to the elements, uncorrected: 1.3102 eV per atom

The structure in POSCAR format:
```
WAu2I
1.0
0.000 3.483 3.483
3.483 0.000 3.483
3.483 3.483 0.000
I Au W
1 2 1
direct
0.000 0.000 0.000 I
0.250 0.250 0.250 Au
0.750 0.750 0.750 Au
0.500 0.500 0.500 W
```

***

Copy entry 2 word for word.
A relaxed W2AuI crystal. Source: the Alexandria database, functional PBE.

Summary:
M_tot: 0.00 μB per formula unit
calculated volume: 71 Å³ per cell
energy relative to the elements, uncorrected: 1.1819 eV per atom

The structure in POSCAR format:
```
W2AuI
1.0
2.926 -3.614 0.051
2.999 -0.514 3.516
-0.596 -3.431 3.081
I Au W
1 1 2
direct
0.000 0.000 0.000 I
0.500 0.500 0.500 Au
0.250 0.250 0.250 W
0.750 0.750 0.750 W
```